Record 1
The following is a PBE calculation of an optimized crystal structure of KTlTe2, from Alexandria via LeMat-Bulk.

Cell: 3.5460 3.5460 37.5140 Å, 90.00 90.00 120.00°
Closest atoms and distances in Å follow each position.
Space group R-3m (No. 166, hexagonal axes)
One atom of each set of equivalent atoms:
K (0.0000, 0.0000, 0.0000)  6 Te 3.48, 6 K 3.55
Tl (0.0000, 0.0000, 0.5000)  2 Te 3.44, 6 Tl 3.55
Te (0.0000, 0.0000, 0.4082)  1 Tl 3.44, 3 K 3.48, 6 Te 3.55

Summary:
Its uncorrected energy is -2.581 eV/atom. The size of the total moment is 0.00 Bohr magnetons per cell. The volume is 34.0 Å³ per atom. The density of states at the Fermi level comes out at 7.63 states/eV/cell. The energy relative to the elements, uncorrected comes out at -0.58 eV per formula unit.

Record 2
The following is a PBE calculation of an optimized crystal structure of KTl2Te2, from Alexandria via LeMat-Bulk.

Cell: 4.9761 4.9761 15.5356 Å, 90.00 90.00 90.00°
Closest atoms and distances in Å follow each position.
Space group I4/mmm (No. 139)
One atom of each set of equivalent atoms:
K (0.0000, 0.0000, 0.0000)  8 Te 3.86
Tl (0.0000, 0.5000, 0.2500)  4 Te 3.38, 4 Tl 3.52
Te (0.0000, 0.0000, 0.3974)  1 Te 3.19, 4 Tl 3.38

Summary:
Its uncorrected energy is -2.872 eV/atom. The size of the total moment is 0.00 Bohr magnetons per cell. The distance to the lowest polymorph of the same formula is 11 meV/atom. The volume is 38.5 Å³ per atom. The density of states at the Fermi level comes out at 3.75 states/eV/cell. The energy relative to the elements, uncorrected comes out at -2.25 eV per formula unit.

Record 3
The following is a PBE calculation of an optimized crystal structure of K5Tl2Te5, from Alexandria via LeMat-Bulk.

Cell: 6.0187 8.2062 10.2854 Å, 101.30 92.05 105.90°
Closest atoms and distances in Å follow each position.
Space group P-1 (No. 2)
One atom of each set of equivalent atoms:
K (0.0000, 0.0000, 0.0000)  6 Te 3.57-3.82, 4 Tl 3.68-3.77
K (0.1507, 0.4028, 0.8113)  4 Te 3.50-3.89, 1 Tl 3.61, 1 K 3.86
K (0.3929, 0.7317, 0.4401)  1 Tl 3.57, 6 Te 3.60-3.95, 1 K 3.86
Tl (0.4394, 0.8447, 0.7953)  4 Te 3.10-3.32
Te (0.0000, 0.0000, 0.5000)  2 Te 3.10
Te (0.1135, 0.2745, 0.3248)  1 Te 3.10, 2 Tl 3.31-3.32
Te (0.4058, 0.7588, 0.0889)  2 Tl 3.10-3.23

Summary:
Its uncorrected energy is -2.870 eV/atom. The size of the total moment is 0.00 Bohr magnetons per cell. The distance to the lowest polymorph of the same formula is 11 meV/atom. The volume is 39.7 Å³ per atom. The density of states at the Fermi level comes out at 4.35 states/eV/cell. The energy relative to the elements, uncorrected comes out at -8.51 eV per formula unit.

Record 4
The following is a PBE calculation of an optimized crystal structure of KTlTe2, from Alexandria via LeMat-Bulk.

Cell: 4.4832 4.4832 25.3609 Å, 90.00 90.00 120.00°
Closest atoms and distances in Å follow each position.
Space group R3m (No. 160, hexagonal axes)
One atom of each set of equivalent atoms:
K (0.0000, 0.0000, 0.0000)  6 Te 3.57-3.60
Tl (0.0000, 0.0000, 0.1664)  6 Te 3.12-3.13
Te (0.0000, 0.0000, 0.5682)  3 Tl 3.12
Te (0.0000, 0.0000, 0.7637)  3 Tl 3.13

Summary:
Its uncorrected energy is -2.823 eV/atom. The size of the total moment is 0.00 Bohr magnetons per cell. The volume is 36.8 Å³ per atom. The density of states at the Fermi level comes out at 5.98 states/eV/cell. The energy relative to the elements, uncorrected comes out at -1.55 eV per formula unit.

Record 5
The following is a PBE calculation of an optimized crystal structure of KTl2Te2, from Alexandria via LeMat-Bulk.

Cell: 9.1767 9.1767 4.2884 Å, 90.00 90.00 90.00°
Closest atoms and distances in Å follow each position.
Space group P4/mbm (No. 127)
One atom of each set of equivalent atoms:
K (0.0000, 0.0000, 0.0000)  4 Te 3.45
Tl (0.1366, 0.3634, 0.5000)  6 Te 3.41-3.46, 1 Tl 3.54
Te (0.1590, 0.6590, 0.0000)  6 Tl 3.41-3.46, 2 K 3.45

Summary:
Its uncorrected energy is -2.828 eV/atom. The size of the total moment is 0.00 Bohr magnetons per cell. The distance to the lowest polymorph of the same formula is 55 meV/atom. The volume is 36.1 Å³ per atom. The density of states at the Fermi level comes out at 6.85 states/eV/cell. The energy relative to the elements, uncorrected comes out at -2.03 eV per formula unit.

Record 6
The following is a PBE calculation of an optimized crystal structure of KTl3Te3, from Alexandria via LeMat-Bulk.

Cell: 8.8846 8.8846 8.8846 Å, 90.00 90.00 90.00°
Closest atoms and distances in Å follow each position.
Space group Pm-3n (No. 223)
One atom of each set of equivalent atoms:
K (0.0000, 0.0000, 0.0000)  12 Tl 4.97, 12 Te 4.97
Tl (0.0000, 0.2500, 0.5000)  4 Te 3.14
Te (0.0000, 0.5000, 0.2500)  4 Tl 3.14

Summary:
Its uncorrected energy is -2.711 eV/atom. The size of the total moment is 0.00 Bohr magnetons per cell. The distance to the lowest polymorph of the same formula is 165 meV/atom. The volume is 50.1 Å³ per atom. The density of states at the Fermi level comes out at 18.63 states/eV/cell. The energy relative to the elements, uncorrected comes out at -1.36 eV per formula unit.

Which of these has the highest uncorrected energy? number 1

Among the records above, which one has the highest energy relative to the elements, uncorrected? number 1

Which value of uncorrected energy does entry 2 give? -2.872 eV/atom

Among the records above, which one has the highest uncorrected energy? number 1